Record 1
Density functional theory data (PBE) for a relaxed structure of IrAu.

- Formation energy from the elements: 0.30 eV/atom
- Crystal system: monoclinic

abc: 8.4286 3.7724 10.5053
angles: 90.00 168.49 90.00
Closest atoms and distances in Å follow each position.
Positions (direct):
Au 0.0207 0.0000 0.0136  6 Au 2.81-2.88, 5 Ir 2.88-2.93
Au 0.7293 0.5000 0.9864  6 Au 2.81-2.88, 5 Ir 2.88-2.93
Ir 0.3561 0.5000 0.0709  6 Ir 2.61-2.81, 1 Au 2.88
Ir 0.3939 0.0000 0.9291  6 Ir 2.61-2.81, 1 Au 2.88

Record 2
Density functional theory data (PBE) for a relaxed structure of Cs2NaCrCl6.

- Crystal system: trigonal
- Raw formation energy: -1.656 eV per atom

abc: 6.7184 7.4100 7.4100
angles: 120.00 90.00 90.00
Closest atoms and distances in Å follow each position.
Positions (direct):
Cs 0.2047 0.3333 0.6667  9 Cl 3.62-3.71
Cs 0.7953 0.6667 0.3333  9 Cl 3.62-3.71
Na 0.5000 0.0000 0.0000  6 Cl 2.77
Cr 0.0000 0.0000 0.0000  6 Cl 2.38
Cl 0.7939 0.1512 0.3024  1 Cr 2.38
Cl 0.7939 0.1512 0.8488  1 Cr 2.38
Cl 0.7939 0.6976 0.8488  1 Cr 2.38
Cl 0.2061 0.8488 0.1512  1 Cr 2.38
Cl 0.2061 0.3024 0.1512  1 Cr 2.38
Cl 0.2061 0.8488 0.6976  1 Cr 2.38

Record 3
Density functional theory data (PBE) for a relaxed structure of RbCuSeN2.

- Crystal system: tetragonal
- Raw formation energy: 1.448 eV per atom

abc: 4.2130 4.2130 4.8522
angles: 90.00 90.00 90.00
Closest atoms and distances in Å follow each position.
Positions (direct):
Cu 0.0000 0.0000 0.0000  4 N 2.11
Se 0.0000 0.0000 0.5000  2 Cu 2.43
Rb 0.5000 0.5000 0.5000  4 Se 2.98, 8 N 3.21
N 0.0000 0.5000 0.0000  2 Cu 2.11
N 0.5000 0.0000 0.0000  2 Cu 2.11

Record 4
Density functional theory data (PBE) for a relaxed structure of AgMoAu4.

- Formation energy from the elements: 0.45 eV/atom
- Crystal system: cubic

abc: 5.4742 5.4742 5.4742
angles: 60.00 60.00 60.00
Closest atoms and distances in Å follow each position.
Positions (direct):
Ag 0.0000 0.0000 0.0000  12 Au 3.21, 4 Mo 3.35
Mo 0.7500 0.7500 0.7500  12 Au 3.21, 4 Ag 3.35
Au 0.8753 0.3749 0.3749  6 Au 2.74
Au 0.3749 0.3749 0.8753  6 Au 2.74
Au 0.3749 0.8753 0.3749  6 Au 2.74
Au 0.3749 0.3749 0.3749  6 Au 2.74

Record 5
Density functional theory data (PBE) for a relaxed structure of Ac2Pd3.

- Formation energy from the elements: -0.77 eV/atom
- Crystal system: trigonal

abc: 4.5752 4.5752 7.9338
angles: 73.24 73.24 60.00
Closest atoms and distances in Å follow each position.
Positions (direct):
Ac 0.4118 0.4118 0.7646  9 Pd 3.17-3.35
Ac 0.5882 0.5882 0.2354  9 Pd 3.17-3.35
Pd 0.0000 0.0000 0.0000  6 Ac 3.17
Pd 0.8369 0.8369 0.4894  3 Pd 2.65
Pd 0.1631 0.1631 0.5106  3 Pd 2.65